Computed, not measured: Sr3CoC after structural relaxation at the PBE-GGA level of DFT.

- Symmetry: Pm-3m, No. 221
- V: 30.8 A^3/atom
- Formation energy from the elements: 0.742 eV/atom
- E: -3.5332 eV/atom
- D(E_F): 7.92 states/eV/f.u.
- Excess energy over the best structure of this formula in the dataset: 0 meV per atom

Unit cell a=5.361 b=5.361 c=5.361 alpha=90.00 beta=90.00 gamma=90.00
Element x y z (fractional)
Sr  0.000  0.500  0.000
Sr  0.000  0.000  0.500
Sr  0.500  0.000  0.000
C  0.000  0.000  0.000
Co  0.500  0.500  0.500